1.
DFT (PBE) results for crystalline Rb3Zr2UTe6 at its relaxed geometry.

Results
ΔE_f (raw) = -1046 kJ/mol of formula units
symmetry = No. 12

Cell: 7.5046 7.5046 9.0228 Å, 97.98 97.98 120.06°
Last column: magnetic moment on the atom in μB.
Element x y z (fractional)
Rb  0.1626  0.8374  0.5000  0.00
Rb  0.8374  0.1626  0.5000  0.00
Rb  0.5000  0.5000  0.5000  0.00
Zr  0.3320  0.6680  0.0000  0.52
Zr  0.6680  0.3320  0.0000  0.52
U  0.0000  0.0000  0.0000  2.70
Te  0.9333  0.5875  0.8014  -0.03
Te  0.7187  0.7187  0.1961  -0.03
Te  0.0667  0.4125  0.1986  -0.03
Te  0.5875  0.9333  0.8014  -0.03
Te  0.2813  0.2813  0.8039  -0.03
Te  0.4125  0.0667  0.1986  -0.03


2.
DFT (PBE) results for crystalline La4Ge at its relaxed geometry.

Results
DFT formation energy = -71 meV per atom
symmetry = No. 221

Cell: 5.8606 5.8606 5.8606 Å, 90.00 90.00 90.00°
Last column: magnetic moment on the atom in μB.
Element x y z (fractional)
Ge  0.5000  0.5000  0.5000  -0.04
La  0.0000  0.0000  0.0000  -0.19
La  0.5000  0.0000  0.5000  -0.11
La  0.0000  0.5000  0.5000  -0.11
La  0.5000  0.5000  0.0000  -0.11


3.
DFT (PBE) results for crystalline MgOsRu at its relaxed geometry.

Results
DFT formation energy = 163 meV per atom
symmetry = No. 2

Cell: 6.2022 4.0170 4.7942 Å, 114.75 57.27 108.87°
Element x y z (fractional)
Ru  0.3090  0.4991  0.9115
Ru  0.7922  0.4679  0.3627
Mg  0.1166  0.1538  0.4119
Mg  0.9848  0.8131  0.8624
Os  0.5055  0.8275  0.3681
Os  0.5957  0.1395  0.9059


4.
DFT (PBE) results for crystalline HoAlH at its relaxed geometry.

Results
symmetry = No. 107

Cell: 3.0866 3.0866 5.9284 Å, 105.09 105.09 90.00°
Last column: magnetic moment on the atom in μB.
Element x y z (fractional)
H  0.2673  0.2673  0.5346  0.00
Ho  0.7242  0.7242  0.4484  0.08
Al  0.0085  0.0085  0.0170  0.00


5.
DFT (PBE) results for crystalline Fe5Co2Ni4 at its relaxed geometry.

Results
DFT formation energy = 53 meV per atom
symmetry = No. 10

Cell: 2.4496 6.2495 8.2722 Å, 85.94 90.00 90.00°
Last column: magnetic moment on the atom in μB.
Element x y z (fractional)
Fe  0.0000  0.4241  0.2926  2.64
Fe  0.0000  0.8052  0.1670  2.66
Fe  0.0000  0.5000  0.0000  2.56
Fe  0.0000  0.1948  0.8330  2.66
Fe  0.0000  0.5759  0.7074  2.64
Co  0.0000  0.9455  0.6346  1.69
Co  0.0000  0.0545  0.3654  1.69
Ni  0.5000  0.2974  0.5570  0.69
Ni  0.5000  0.8402  0.8973  0.68
Ni  0.5000  0.7026  0.4430  0.69
Ni  0.5000  0.1598  0.1027  0.68


6.
DFT (PBE) results for crystalline Ho4MgS5 at its relaxed geometry.

Results
ΔE_f (raw) = -1757 kJ/mol of formula units
symmetry = No. 79

Cell: 5.4615 6.6743 6.6743 Å, 80.36 65.85 65.85°
Element x y z (fractional)
Ho  0.4035  0.4017  0.7930
Ho  0.8052  0.7930  0.5983
Ho  0.1965  0.2070  0.4017
Ho  0.5982  0.5983  0.2070
Mg  0.0027  0.0000  0.0000
S  0.9040  0.3816  0.8119
S  0.2856  0.8119  0.6184
S  0.7159  0.1881  0.3816
S  0.0975  0.6184  0.1881
S  0.5012  0.0000  0.0000


7.
DFT (PBE) results for crystalline Ce2Pr2S5 at its relaxed geometry.

Results
ΔE_f (raw) = -1681 kJ/mol of formula units
symmetry = No. 64

Cell: 7.7198 8.0954 8.0954 Å, 123.30 90.00 90.00°
Last column: magnetic moment on the atom in μB.
Element x y z (fractional)
Ce  0.0000  0.8009  0.1991  1.11
Ce  0.5000  0.3009  0.6991  1.11
Ce  0.0000  0.1991  0.8009  1.11
Ce  0.5000  0.6991  0.3009  1.11
Pr  0.3416  0.1555  0.1555  0.13
Pr  0.6584  0.8445  0.8445  0.13
Pr  0.8416  0.3445  0.3445  0.13
Pr  0.1584  0.6555  0.6555  0.13
S  0.0000  0.0000  0.0000  -0.01
S  0.5000  0.5000  0.5000  -0.01
S  0.1520  0.2011  0.4802  -0.02
S  0.8480  0.5198  0.7989  -0.02
S  0.6520  0.0198  0.2989  -0.02
S  0.3480  0.7011  0.9802  -0.02
S  0.8480  0.7989  0.5198  -0.02
S  0.1520  0.4802  0.2011  -0.02
S  0.3480  0.9802  0.7011  -0.02
S  0.6520  0.2989  0.0198  -0.02


8.
DFT (PBE) results for crystalline Sr2PuCuS5 at its relaxed geometry.

Results
ΔE_f (raw) = -1268 kJ/mol of formula units
symmetry = No. 36

Cell: 4.0053 8.8559 12.2952 Å, 90.00 90.00 103.07°
Last column: magnetic moment on the atom in μB.
Element x y z (fractional)
Sr  0.8830  0.7659  0.8313  0.00
Sr  0.1128  0.2256  0.6921  0.00
Sr  0.1170  0.2341  0.3313  0.00
Sr  0.8872  0.7744  0.1921  0.00
Pu  0.7997  0.5995  0.5217  4.31
Pu  0.2003  0.4005  0.0217  4.31
Cu  0.5651  0.1301  0.9304  -0.24
Cu  0.4349  0.8699  0.4304  -0.24
S  0.3519  0.7038  0.0135  -0.11
S  0.6962  0.3925  0.8752  -0.15
S  0.4997  0.9994  0.7704  -0.09
S  0.2964  0.5928  0.6671  -0.14
S  0.9496  0.8992  0.5223  -0.22
S  0.6481  0.2962  0.5135  -0.11
S  0.3038  0.6075  0.3752  -0.15
S  0.5003  0.0006  0.2704  -0.09
S  0.7036  0.4072  0.1671  -0.14
S  0.0504  0.1008  0.0223  -0.22


9.
DFT (PBE) results for crystalline LiCd2Ag at its relaxed geometry.

Results
DFT formation energy = -171 meV per atom
symmetry = No. 10

Cell: 3.8234 3.1518 6.9714 Å, 63.94 90.00 90.00°
Element x y z (fractional)
Li  0.5000  0.2500  0.2500
Ag  0.5000  0.7500  0.7500
Cd  0.0000  0.9947  0.0063
Cd  0.0000  0.5053  0.4937


10.
DFT (PBE) results for crystalline LiErPd6 at its relaxed geometry.

Results
DFT formation energy = -562 meV per atom
symmetry = No. 123

Cell: 4.0582 4.0582 7.8259 Å, 90.00 90.00 90.00°
Element x y z (fractional)
Li  0.0000  0.0000  0.5000
Er  0.0000  0.0000  0.0000
Pd  0.5000  0.5000  0.0000
Pd  0.5000  0.5000  0.5000
Pd  0.5000  0.0000  0.2624
Pd  0.5000  0.0000  0.7376
Pd  0.0000  0.5000  0.2624
Pd  0.0000  0.5000  0.7376


11.
DFT (PBE) results for crystalline NbRh at its relaxed geometry.

Results
DFT formation energy = -408 meV per atom
symmetry = No. 10

Cell: 2.8519 4.9073 7.0808 Å, 76.22 90.00 90.00°
Element x y z (fractional)
Nb  0.0000  0.2509  0.3338
Nb  0.0000  0.0000  0.0000
Nb  0.0000  0.7491  0.6662
Rh  0.5000  0.5000  0.0000
Rh  0.5000  0.7430  0.3338
Rh  0.5000  0.2570  0.6662


12.
DFT (PBE) results for crystalline Er2Co3Ge4 at its relaxed geometry.

Results
DFT formation energy = -501 meV per atom
symmetry = No. 69

Cell: 5.3034 5.3034 6.5748 Å, 101.52 101.52 120.32°
Element x y z (fractional)
Er  0.6318  0.6318  0.2636
Er  0.3682  0.3682  0.7364
Co  0.5000  0.0000  0.0000
Co  0.0000  0.0000  0.0000
Co  0.0000  0.5000  0.0000
Ge  0.0149  0.6777  0.6926
Ge  0.6777  0.0149  0.6926
Ge  0.9851  0.3223  0.3074
Ge  0.3223  0.9851  0.3074


| no. | energy (eV per atom) | total magnetic moment (μB/cell) |
| --- | --- | --- |
| 1 | -5.0817 | 4.45 |
| 2 | -4.9364 | 1.38 |
| 3 | -7.2035 | 0.00 |
| 4 | -3.9444 | 0.08 |
| 5 | -7.1878 | 18.95 |
| 6 | -5.8751 | 0.00 |
| 7 | -6.6095 | 6.54 |
| 8 | -6.1748 | 6.18 |
| 9 | -1.8201 | 0.00 |
| 10 | -5.2663 | 0.00 |
| 11 | -9.1184 | 0.00 |
| 12 | -5.9354 | 0.00 |